CsMnAs2O8 after structural relaxation. Source: Alexandria, functional GGA+U.

Values from the calculation:
As for the calculated density: 3.42 Mg/m³. The value obtained for the calculated total energy is -70.668 eV per cell. Its spin magnetization is 4.12 μB per cell.

Cell lengths 5.460, 5.460, 9.309 Å; angles 72.94, 72.94, 60.00 degrees
Fractional positions:
O  0.613  0.613  0.635
O  0.613  0.138  0.635
O  0.387  0.387  0.365
O  0.138  0.613  0.635
O  0.862  0.387  0.365
O  0.387  0.862  0.365
O  0.294  0.294  0.119
O  0.706  0.706  0.881
Mn  0.500  0.500  0.500
Cs  0.000  0.000  0.000
As  0.229  0.229  0.312
As  0.771  0.771  0.688